Compound: EuCuMo2O8
Source: Alexandria
Functional: GGA+U
Structure: optimized geometry

a = 10.063 Å, b = 10.585 Å, c = 15.052 Å
α = 90.00°, β = 90.00°, γ = 90.00°
Each line ends with the local moment (μB).
Fractional positions:
O 0.891 0.164 0.993  -0.01
O 0.509 0.591 0.833  -0.01
Mo 0.000 0.224 0.443  0.01
O 0.391 0.336 0.993  -0.01
O 0.095 0.117 0.377  0.00
O 0.883 0.809 0.132  0.01
Cu 0.701 0.683 0.700  0.31
O 0.109 0.836 0.007  -0.01
O 0.208 0.581 0.458  0.00
O 0.251 0.986 0.725  0.03
O 0.251 0.486 0.775  0.03
O 0.009 0.409 0.667  -0.01
O 0.225 0.261 0.186  0.04
Cu 0.299 0.317 0.300  0.31
O 0.249 0.986 0.225  0.03
O 0.275 0.761 0.814  0.04
O 0.383 0.691 0.132  0.01
O 0.911 0.138 0.526  -0.01
O 0.617 0.809 0.632  0.01
O 0.749 0.014 0.275  0.03
Mo 0.000 0.776 0.557  0.01
O 0.509 0.091 0.667  -0.01
O 0.391 0.836 0.507  -0.01
O 0.292 0.081 0.542  0.00
O 0.383 0.191 0.368  0.01
Mo 0.500 0.776 0.057  0.01
O 0.991 0.091 0.167  -0.01
O 0.792 0.419 0.542  0.00
Cu 0.799 0.683 0.200  0.31
O 0.883 0.309 0.368  0.01
O 0.708 0.419 0.042  0.00
O 0.117 0.691 0.632  0.01
Mo 0.166 0.104 0.155  0.01
Cu 0.299 0.817 0.200  0.31
Eu 0.274 0.966 0.399  6.42
O 0.249 0.486 0.275  0.03
O 0.089 0.362 0.026  -0.01
O 0.751 0.514 0.725  0.03
Cu 0.701 0.183 0.800  0.31
O 0.292 0.581 0.958  0.00
Eu 0.726 0.534 0.899  6.42
O 0.905 0.883 0.623  0.00
O 0.708 0.919 0.458  0.00
Cu 0.799 0.183 0.300  0.31
O 0.117 0.191 0.868  0.01
O 0.792 0.919 0.958  0.00
O 0.275 0.261 0.686  0.04
O 0.609 0.164 0.493  -0.01
O 0.749 0.514 0.225  0.03
O 0.991 0.591 0.333  -0.01
O 0.089 0.862 0.474  -0.01
Cu 0.201 0.817 0.700  0.31
O 0.009 0.909 0.833  -0.01
O 0.725 0.239 0.186  0.04
O 0.905 0.383 0.877  0.00
Eu 0.774 0.534 0.399  6.42
O 0.609 0.664 0.007  -0.01
Mo 0.166 0.604 0.345  0.01
Mo 0.666 0.396 0.155  0.01
Eu 0.226 0.966 0.899  6.42
Eu 0.726 0.034 0.601  6.42
O 0.225 0.761 0.314  0.04
Mo 0.500 0.276 0.443  0.01
O 0.405 0.617 0.623  0.00
Eu 0.274 0.466 0.101  6.42
O 0.595 0.883 0.123  0.00
O 0.491 0.909 0.333  -0.01
O 0.411 0.862 0.974  -0.01
Cu 0.201 0.317 0.800  0.31
O 0.595 0.383 0.377  0.00
Mo 0.334 0.604 0.845  0.01
O 0.109 0.336 0.493  -0.01
O 0.617 0.309 0.868  0.01
O 0.911 0.638 0.974  -0.01
O 0.589 0.638 0.474  -0.01
Mo 0.334 0.104 0.655  0.01
O 0.775 0.239 0.686  0.04
O 0.725 0.739 0.314  0.04
O 0.589 0.138 0.026  -0.01
Eu 0.774 0.034 0.101  6.42
O 0.405 0.117 0.877  0.00
O 0.751 0.014 0.775  0.03
O 0.891 0.664 0.507  -0.01
Mo 0.000 0.724 0.057  0.01
Mo 0.500 0.724 0.557  0.01
Eu 0.226 0.466 0.601  6.42
O 0.095 0.617 0.123  0.00
O 0.775 0.739 0.814  0.04
O 0.491 0.409 0.167  -0.01
Mo 0.834 0.896 0.845  0.01
Mo 0.666 0.896 0.345  0.01
O 0.411 0.362 0.526  -0.01
Mo 0.834 0.396 0.655  0.01
O 0.208 0.081 0.042  0.00
Mo 0.000 0.276 0.943  0.01
Mo 0.500 0.224 0.943  0.01

Values from the calculation:
DOS at the Fermi energy: 22.025 states/eV/f.u.
crystal system: orthorhombic
VASP energy: -714.2 eV/cell
calculated density: 4.436 g cm⁻³
total magnetization: 0.578 μB per atom